VASP calculation (PBE-GGA) on a relaxed Ca2YPdN crystal.

Cell lengths 4.8258, 4.8258, 4.7140 Å; angles 90.00, 90.00, 90.00 degrees
Element x y z (fractional)
Y: 0.0000 0.0000 0.5000
Ca: 0.5000 0.0000 0.0000
Ca: 0.0000 0.5000 0.0000
Pd: 0.5000 0.5000 0.5000
N: 0.0000 0.0000 0.0000

Values from the calculation:
The calculated volume is 21.96 Å³/atom. Its magnetization is 0.00 Bohr magnetons per cell. The formation energy from raw total energies is -0.771 eV per atom. As for the space group: P4/mmm.

VASP calculation (PBE-GGA) on a relaxed CaZnPdN2 crystal.

Cell lengths 4.3706, 5.8603, 4.3706 Å; angles 90.00, 90.00, 90.00 degrees
Site moments in Bohr magnetons follow the coordinates.
Element x y z (fractional)
Zn: 0.0000 0.5000 0.0000  0.02
N: 0.5000 0.0000 0.0000  1.05
N: 0.0000 0.0000 0.5000  1.45
Pd: 0.5000 0.5000 0.5000  0.22
Ca: 0.0000 0.0000 0.0000  0.07

Values from the calculation:
The calculated volume is 22.39 Å³/atom. Its magnetization is 3.89 Bohr magnetons per cell. The formation energy from raw total energies is 1.630 eV per atom. As for the space group: P4/mmm.

VASP calculation (PBE-GGA) on a relaxed CaPmN2 crystal.

Cell lengths 3.6000, 3.6000, 6.1854 Å; angles 73.08, 73.08, 60.00 degrees
Site moments in Bohr magnetons follow the coordinates.
Element x y z (fractional)
Ca: 0.5000 0.5000 0.5000  0.01
Pm: 0.0000 0.0000 0.0000  -0.02
N: 0.7456 0.7456 0.7631  0.33
N: 0.2544 0.2544 0.2369  0.33

Values from the calculation:
The calculated volume is 16.35 Å³/atom. Its magnetization is 0.96 Bohr magnetons per cell. The formation energy from raw total energies is -0.906 eV per atom. As for the space group: R-3m. Its distance to the lowest polymorph of the same formula is 0.0 kJ/mol of atoms.

VASP calculation (PBE-GGA) on a relaxed CaPmN crystal.

Cell lengths 6.2195, 3.6457, 3.6457 Å; angles 120.00, 90.00, 90.00 degrees
Site moments in Bohr magnetons follow the coordinates.
Element x y z (fractional)
Ca: 0.5651 0.6667 0.3333  0.02
N: 0.3109 0.3333 0.6667  -0.02
Pm: 0.1239 0.0000 0.0000  0.11

Values from the calculation:
The calculated volume is 23.86 Å³/atom. Its magnetization is 0.29 Bohr magnetons per cell. The formation energy from raw total energies is -0.812 eV per atom. As for the space group: P3m1. Its distance to the lowest polymorph of the same formula is 0.0 kJ/mol of atoms.

VASP calculation (PBE-GGA) on a relaxed CaPmN2 crystal.

Cell lengths 3.5504, 3.5504, 6.3941 Å; angles 73.88, 73.88, 60.00 degrees
Site moments in Bohr magnetons follow the coordinates.
Element x y z (fractional)
Ca: 0.4952 0.4952 0.5145  0.01
N: 0.0796 0.0796 0.7613  0.27
N: 0.2567 0.2567 0.2298  0.42
Pm: 0.6685 0.6685 0.9944  -0.01

Values from the calculation:
The calculated volume is 16.53 Å³/atom. Its magnetization is 1.01 Bohr magnetons per cell. The formation energy from raw total energies is -0.772 eV per atom. As for the space group: R3m. Its distance to the lowest polymorph of the same formula is 13.0 kJ/mol of atoms.

VASP calculation (PBE-GGA) on a relaxed CaPmN crystal.

Cell lengths 4.7350, 3.7863, 3.7863 Å; angles 85.44, 90.00, 90.00 degrees
Element x y z (fractional)
Pm: 0.5611 0.0358 0.0358
N: 0.0611 0.1050 0.1050
Ca: 0.0611 0.5350 0.5350

Values from the calculation:
The calculated volume is 22.56 Å³/atom. Its magnetization is 0.00 Bohr magnetons per cell. The formation energy from raw total energies is -0.659 eV per atom. As for the space group: Amm2. Its distance to the lowest polymorph of the same formula is 14.8 kJ/mol of atoms.

VASP calculation (PBE-GGA) on a relaxed CaPm3N crystal.

Cell lengths 5.1588, 5.1588, 5.1588 Å; angles 90.00, 90.00, 90.00 degrees
Element x y z (fractional)
N: 0.0000 0.0000 0.0000
Pm: 0.5000 0.0000 0.0000
Pm: 0.0000 0.0000 0.5000
Pm: 0.0000 0.5000 0.0000
Ca: 0.5000 0.5000 0.5000

Values from the calculation:
The calculated volume is 27.46 Å³/atom. Its magnetization is 0.00 Bohr magnetons per cell. The formation energy from raw total energies is -0.437 eV per atom. As for the space group: Pm-3m.

VASP calculation (PBE-GGA) on a relaxed CaPmN crystal.

Cell lengths 4.3193, 4.3193, 4.3193 Å; angles 60.00, 60.00, 60.00 degrees
Element x y z (fractional)
N: 0.2500 0.2500 0.2500
Pm: 0.0000 0.0000 0.0000
Ca: 0.5000 0.5000 0.5000

Values from the calculation:
The calculated volume is 18.99 Å³/atom. Its magnetization is 0.00 Bohr magnetons per cell. The formation energy from raw total energies is -0.275 eV per atom. As for the space group: F-43m. Its distance to the lowest polymorph of the same formula is 51.8 kJ/mol of atoms.

> magnetization of number 5 (CaPmN2)?

1.01 Bohr magnetons per cell